# Gd2AlSn

A relaxed structure of Gd2AlSn (PBE-GGA, Alexandria via LeMat-Bulk).

D(E_F) = 0.839 states/eV per atom
calculated formation energy = -2.15 eV/f.u.
raw total energy = -9.5151 eV/atom
M_tot = 14.9 μB/f.u.

abc: 4.4657 4.7786 4.7786
angles: 90.00 90.00 90.00
Closest atoms and distances in Å follow each position.
Element x y z (fractional)
Gd 0.0000 0.0000 0.5000  4 Sn 3.27, 4 Al 3.27, 4 Gd 3.38
Sn 0.5000 0.5000 0.5000  8 Gd 3.27, 4 Al 3.38
Gd 0.0000 0.5000 0.0000  4 Sn 3.27, 4 Al 3.27, 4 Gd 3.38
Al 0.5000 0.0000 0.0000  8 Gd 3.27, 4 Sn 3.38